# GGA+U LiNiP3O9, optimized geometry
data_LiNiP3O9
_symmetry_space_group_name_H-M 'P 1'
_symmetry_Int_Tables_number 1
_symmetry_space_group_name_Hall 'P 1'
_cell_length_a 9.407
_cell_length_b 9.458
_cell_length_c 9.799
_cell_angle_alpha 109.13
_cell_angle_beta 105.23
_cell_angle_gamma 109.91
loop_
_atom_site_label
_atom_site_type_symbol
_atom_site_fract_x
_atom_site_fract_y
_atom_site_fract_z
Li1 Li 0.040 0.331 0.198
Li2 Li 0.242 0.753 0.728
Li3 Li 0.758 0.247 0.272
Li4 Li 0.960 0.669 0.802
Ni1 Ni 0.337 0.941 0.515
Ni2 Ni 0.393 0.170 0.307
Ni3 Ni 0.607 0.830 0.693
Ni4 Ni 0.663 0.059 0.485
P1 P 0.015 0.371 0.628
P2 P 0.050 0.805 0.172
P3 P 0.198 0.061 0.912
P4 P 0.334 0.430 0.584
P5 P 0.405 0.658 0.286
P6 P 0.476 0.860 0.111
P7 P 0.524 0.140 0.889
P8 P 0.595 0.342 0.714
P9 P 0.666 0.570 0.416
P10 P 0.802 0.939 0.088
P11 P 0.950 0.195 0.828
P12 P 0.985 0.629 0.372
O1 O 0.024 0.345 0.783
O2 O 0.050 0.548 0.670
O3 O 0.066 0.738 0.022
O4 O 0.095 0.143 0.841
O5 O 0.108 0.875 0.804
O6 O 0.148 0.770 0.511
O7 O 0.162 0.337 0.595
O8 O 0.211 0.952 0.318
O9 O 0.248 0.526 0.259
O10 O 0.255 0.132 0.089
O11 O 0.317 0.328 0.422
O12 O 0.353 0.148 0.870
O13 O 0.377 0.829 0.952
O14 O 0.383 0.701 0.140
O15 O 0.390 0.617 0.646
O16 O 0.452 0.397 0.713
O17 O 0.479 0.978 0.741
O18 O 0.481 0.829 0.442
O19 O 0.519 0.171 0.558
O20 O 0.521 0.022 0.259
O21 O 0.548 0.603 0.287
O22 O 0.610 0.383 0.354
O23 O 0.617 0.299 0.860
O24 O 0.623 0.171 0.048
O25 O 0.647 0.852 0.130
O26 O 0.683 0.672 0.578
O27 O 0.745 0.868 0.911
O28 O 0.752 0.474 0.741
O29 O 0.789 0.048 0.682
O30 O 0.838 0.663 0.405
O31 O 0.852 0.230 0.489
O32 O 0.892 0.125 0.196
O33 O 0.905 0.857 0.159
O34 O 0.934 0.262 0.978
O35 O 0.950 0.452 0.330
O36 O 0.976 0.655 0.217
# Fermi-level density of states   0.00 states/eV/cell
# Electronic total energy   -6.701 eV/atom
# Space group   P-1, No. 2
# Distance to the lowest polymorph of the same formula   0.0452 eV/atom